# SrEuAl4

SrEuAl4 after structural relaxation (PBE-GGA, Alexandria).

Computed properties:
volume: 136.75 Å³/f.u.
energy relative to the elements: -0.32 eV per atom

Lattice parameters (Å, degrees): 8.1783 8.1783 8.1783 90.00 90.00 90.00
Space group F-43m (No. 216)
Inequivalent atoms, fractional coordinates:
Sr (0.0000, 0.0000, 0.0000) x4
Eu (0.2500, 0.2500, 0.2500) x4
Al (0.1245, 0.1245, 0.6245) x16